# KIr

An optimized crystal structure of KIr (GGA-PBE, OQMD via LeMat-Bulk).

Calculated values
Energy above the lowest structure with this stoichiometry ... 1589.9 meV/atom
Space group ... F-43m, No. 216
E_tot ... -2.571 eV per atom

a = 7.7079 Å, b = 7.7079 Å, c = 7.7079 Å
α = 90.00°, β = 90.00°, γ = 90.00°
Sites, in units of the cell vectors:
K  0.0000  0.0000  0.0000
K  0.0000  0.5000  0.5000
K  0.5000  0.0000  0.5000
K  0.5000  0.5000  0.0000
Ir  0.2500  0.2500  0.2500
Ir  0.2500  0.7500  0.7500
Ir  0.7500  0.2500  0.7500
Ir  0.7500  0.7500  0.2500

***

# Hf2Si2O5

An optimized crystal structure of Hf2Si2O5 (GGA-PBE, OQMD via LeMat-Bulk).

Calculated values
Energy above the lowest structure with this stoichiometry ... 0.0 meV/atom
Space group ... P4/mmm, No. 123
E_tot ... -7.882 eV per atom

a = 4.0552 Å, b = 4.0552 Å, c = 7.7177 Å
α = 90.00°, β = 90.00°, γ = 90.00°
Sites, in units of the cell vectors:
Hf  0.0000  0.0000  0.2432
Hf  0.0000  0.0000  0.7568
Si  0.5000  0.5000  0.0000
Si  0.5000  0.5000  0.5000
O  0.0000  0.0000  0.5000
O  0.0000  0.5000  0.2483
O  0.0000  0.5000  0.7517
O  0.5000  0.0000  0.2483
O  0.5000  0.0000  0.7517

***

# DyErBr2O2

An optimized crystal structure of DyErBr2O2 (GGA-PBE, OQMD via LeMat-Bulk).

Calculated values
Space group ... P4mm, No. 99
E_tot ... -6.669 eV per atom

a = 3.8119 Å, b = 3.8119 Å, c = 8.7174 Å
α = 90.00°, β = 90.00°, γ = 90.00°
Sites, in units of the cell vectors:
Dy  0.0000  0.0000  0.0000
Er  0.5000  0.5000  0.2595
Br  0.0000  0.0000  0.4493
Br  0.5000  0.5000  0.8105
O  0.0000  0.5000  0.1317
O  0.5000  0.0000  0.1317

***

# PrGa2

An optimized crystal structure of PrGa2 (GGA-PBE, OQMD via LeMat-Bulk).

Calculated values
Space group ... Fd-3m, No. 227
E_tot ... -4.179 eV per atom

a = 5.6546 Å, b = 5.6546 Å, c = 5.6546 Å
α = 60.00°, β = 60.00°, γ = 60.00°
Sites, in units of the cell vectors:
Pr  0.1250  0.1250  0.1250
Pr  0.8750  0.8750  0.8750
Ga  0.0000  0.5000  0.5000
Ga  0.5000  0.0000  0.5000
Ga  0.5000  0.5000  0.0000
Ga  0.5000  0.5000  0.5000

***

Question: The lowest E_tot belongs to which entry?
Answer: Hf2Si2O5